[1]
First-principles (PBE-GGA) data for a relaxed Cr2CuRu crystal, as listed in Alexandria via LeMat-Bulk.

Unit cell a=5.1166 b=7.4230 c=2.6166 alpha=90.00 beta=90.19 gamma=90.00
Space group C2/m (No. 12)
Asymmetric unit:
Cr  0.2500  0.2500  0.0000 (multiplicity 4)
Cu  0.0000  0.0000  0.5000 (multiplicity 2)
Ru  0.0000  0.5000  0.5000 (multiplicity 2)

Computed properties:
**Total DFT energy (no corrections)**: -7.91 eV/atom

[2]
First-principles (PBE-GGA) data for a relaxed Ce2B2Ir5 crystal, as listed in Alexandria via LeMat-Bulk.

Unit cell a=5.5099 b=5.5099 c=31.7161 alpha=90.00 beta=90.00 gamma=120.00
Space group R-3m (No. 166, hexagonal axes)
Asymmetric unit:
Ce  0.0000  0.0000  0.0510 (multiplicity 6)
Ce  0.0000  0.0000  0.1523 (multiplicity 6)
B  0.0000  0.0000  0.2834 (multiplicity 6)
B  0.0000  0.0000  0.3824 (multiplicity 6)
Ir  0.0000  0.0000  0.5000 (multiplicity 3)
Ir  0.0000  0.5000  0.0000 (multiplicity 9)
Ir  0.0046  0.5023  0.0959 (multiplicity 18)

Computed properties:
**Total DFT energy (no corrections)**: -8.47 eV/atom
**Offset from the most stable computed form**: 0 meV/atom

[3]
First-principles (PBE-GGA) data for a relaxed AsRuPt2 crystal, as listed in Alexandria via LeMat-Bulk.

Unit cell a=5.3472 b=7.9450 c=2.9227 alpha=90.00 beta=90.00 gamma=90.00
Space group Cmmm (No. 65)
Asymmetric unit:
As  0.0000  0.0000  0.0000 (multiplicity 2)
Ru  0.0000  0.5000  0.0000 (multiplicity 2)
Pt  0.2500  0.2500  0.5000 (multiplicity 4)

Computed properties:
**Total DFT energy (no corrections)**: -6.45 eV/atom

[4]
First-principles (PBE-GGA) data for a relaxed Sm6Dy3Ho2Tl crystal, as listed in Alexandria via LeMat-Bulk.

Unit cell a=6.1636 b=10.6962 c=11.7341 alpha=90.00 beta=100.19 gamma=90.00
Space group C2/m (No. 12)
Asymmetric unit:
Sm  0.2461  0.0000  0.2508 (multiplicity 4)
Sm  0.2464  0.1644  0.7477 (multiplicity 8)
Dy  0.0000  0.1675  0.0000 (multiplicity 4)
Dy  0.0000  0.5000  0.0000 (multiplicity 2)
Ho  0.0000  0.3339  0.5000 (multiplicity 4)
Tl  0.0000  0.0000  0.5000 (multiplicity 2)

Computed properties:
**Total DFT energy (no corrections)**: -4.48 eV/atom

[5]
First-principles (PBE-GGA) data for a relaxed Ba3InRh crystal, as listed in Alexandria via LeMat-Bulk.

Unit cell a=13.8032 b=6.2627 c=9.8629 alpha=90.00 beta=109.93 gamma=90.00
Space group C2/m (No. 12)
Asymmetric unit:
Ba  0.0980  0.0000  0.2253 (multiplicity 4)
Ba  0.1255  0.5000  0.9041 (multiplicity 4)
Ba  0.1701  0.0000  0.6531 (multiplicity 4)
In  0.0906  0.5000  0.4539 (multiplicity 4)
Rh  0.1364  0.0000  0.9409 (multiplicity 4)

Computed properties:
**Total DFT energy (no corrections)**: -3.41 eV/atom
**Offset from the most stable computed form**: 0 meV/atom

[6]
First-principles (PBE-GGA) data for a relaxed Mg2CoGe2Ir crystal, as listed in Alexandria via LeMat-Bulk.

Unit cell a=5.6680 b=12.2863 c=5.7450 alpha=90.00 beta=90.00 gamma=90.00
Space group Ibam (No. 72)
Asymmetric unit:
Mg  0.2458  0.1585  0.0000 (multiplicity 8)
Co  0.0000  0.5000  0.2500 (multiplicity 4)
Ge  0.2314  0.3835  0.0000 (multiplicity 8)
Ir  0.0000  0.0000  0.2500 (multiplicity 4)

Computed properties:
**Total DFT energy (no corrections)**: -5.09 eV/atom

| no. | calculated volume (Å³/cell) |
| --- | --- |
| 1 | 99.4 |
| 2 | 833.9 |
| 3 | 124.2 |
| 4 | 761.4 |
| 5 | 801.6 |
| 6 | 400.1 |